Below is a relaxed structure of Sm2Zn5Pd5, with properties calculated at the GGA-PBE level.

* space-group type: No. 47
* crystal system: orthorhombic
* formation energy from the elements: -647 meV per atom

Unit cell a=4.3667 b=5.2873 c=9.2933 alpha=90.00 beta=90.00 gamma=90.00
With the nearest neighbours (Å) after each atom.
Atoms (fractional coordinates):
Sm 0.0000 0.0000 0.0000  10 Pd 3.10-3.43, 8 Zn 3.45
Sm 0.0000 0.5000 0.5000  6 Pd 2.98-3.06
Zn 0.5000 0.0000 0.5000  4 Pd 2.68, 4 Zn 2.68
Zn 0.5000 0.2504 0.2490  5 Pd 2.63-2.67, 3 Zn 2.64-2.68
Zn 0.5000 0.2504 0.7510  5 Pd 2.63-2.67, 3 Zn 2.64-2.68
Zn 0.5000 0.7496 0.2490  5 Pd 2.63-2.67, 3 Zn 2.64-2.68
Zn 0.5000 0.7496 0.7510  5 Pd 2.63-2.67, 3 Zn 2.64-2.68
Pd 0.0000 0.0000 0.3331  6 Zn 2.67-2.68
Pd 0.0000 0.0000 0.6669  6 Zn 2.67-2.68
Pd 0.0000 0.5000 0.1792  4 Zn 2.63, 2 Pd 2.75
Pd 0.0000 0.5000 0.8208  4 Zn 2.63, 2 Pd 2.75
Pd 0.5000 0.5000 0.0000  4 Zn 2.66, 4 Pd 2.75

Below is a relaxed structure of HfTcRhPb2, with properties calculated at the GGA-PBE level.

* space-group type: No. 123
* crystal system: tetragonal
* formation energy from the elements: 1068 meV per atom

Unit cell a=5.1183 b=5.1183 c=4.7780 alpha=90.00 beta=90.00 gamma=90.00
With the nearest neighbours (Å) after each atom.
Atoms (fractional coordinates):
Hf 0.0000 0.0000 0.0000  8 Pb 3.50, 4 Tc 3.62
Tc 0.5000 0.5000 0.0000  2 Rh 2.39
Rh 0.5000 0.5000 0.5000  2 Tc 2.39, 4 Pb 2.56
Pb 0.0000 0.5000 0.5000  2 Rh 2.56
Pb 0.5000 0.0000 0.5000  2 Rh 2.56

Below is a relaxed structure of BaSr4Ag4, with properties calculated at the GGA-PBE level.

* space-group type: No. 86
* crystal system: tetragonal
* formation energy from the elements: -177 meV per atom

Unit cell a=10.3967 b=10.3967 c=6.4674 alpha=90.00 beta=90.00 gamma=90.00
With the nearest neighbours (Å) after each atom.
Atoms (fractional coordinates):
Ba 0.2500 0.2500 0.2500  4 Ag 3.38
Ba 0.7500 0.7500 0.7500  4 Ag 3.38
Sr 0.0790 0.6562 0.1478  5 Ag 3.24-3.50
Sr 0.1562 0.9210 0.6478  5 Ag 3.24-3.50
Sr 0.3438 0.5790 0.6478  5 Ag 3.24-3.50
Sr 0.4210 0.8438 0.1478  5 Ag 3.24-3.50
Sr 0.5790 0.1562 0.8522  5 Ag 3.24-3.50
Sr 0.6562 0.4210 0.3522  5 Ag 3.24-3.50
Sr 0.8438 0.0790 0.3522  5 Ag 3.24-3.50
Sr 0.9210 0.3438 0.8522  5 Ag 3.24-3.50
Ag 0.0336 0.6070 0.6373  1 Ag 2.93, 2 Sr 3.24
Ag 0.1070 0.9664 0.1373  1 Ag 2.93, 2 Sr 3.24
Ag 0.3930 0.5336 0.1373  1 Ag 2.93, 2 Sr 3.24
Ag 0.4664 0.8930 0.6373  1 Ag 2.93, 2 Sr 3.24
Ag 0.5336 0.1070 0.3627  1 Ag 2.93, 2 Sr 3.24
Ag 0.6070 0.4664 0.8627  1 Ag 2.93, 2 Sr 3.24
Ag 0.8930 0.0336 0.8627  1 Ag 2.93, 2 Sr 3.24
Ag 0.9664 0.3930 0.3627  1 Ag 2.93, 2 Sr 3.24

Below is a relaxed structure of Ba2Cd15Pb2, with properties calculated at the GGA-PBE level.

* space-group type: No. 166
* crystal system: trigonal
* formation energy from the elements: -180 meV per atom

Unit cell a=7.9486 b=7.9486 c=7.9486 alpha=84.43 beta=84.43 gamma=84.43
With the nearest neighbours (Å) after each atom.
Atoms (fractional coordinates):
Ba 0.1631 0.1631 0.1631  1 Pb 3.53, 9 Cd 3.71
Ba 0.8369 0.8369 0.8369  1 Pb 3.53, 9 Cd 3.71
Cd 0.0000 0.5000 0.5000  8 Cd 3.00-3.16, 2 Pb 3.23
Cd 0.1463 0.1463 0.6691  8 Cd 2.97-3.18
Cd 0.1463 0.6691 0.1463  8 Cd 2.97-3.18
Cd 0.1936 0.5000 0.8064  8 Cd 3.00-3.27
Cd 0.1936 0.8064 0.5000  8 Cd 3.00-3.27
Cd 0.3309 0.8537 0.8537  8 Cd 2.97-3.18
Cd 0.5000 0.0000 0.5000  8 Cd 3.00-3.16, 2 Pb 3.23
Cd 0.5000 0.1936 0.8064  8 Cd 3.00-3.27
Cd 0.5000 0.5000 0.0000  8 Cd 3.00-3.16, 2 Pb 3.23
Cd 0.5000 0.8064 0.1936  8 Cd 3.00-3.27
Cd 0.6691 0.1463 0.1463  8 Cd 2.97-3.18
Cd 0.8064 0.1936 0.5000  8 Cd 3.00-3.27
Cd 0.8064 0.5000 0.1936  8 Cd 3.00-3.27
Cd 0.8537 0.3309 0.8537  8 Cd 2.97-3.18
Cd 0.8537 0.8537 0.3309  8 Cd 2.97-3.18
Pb 0.3974 0.3974 0.3974  1 Pb 3.09, 6 Cd 3.23-3.42
Pb 0.6026 0.6026 0.6026  1 Pb 3.09, 6 Cd 3.23-3.42

Below is a relaxed structure of KTlRe, with properties calculated at the GGA-PBE level.

* space-group type: No. 107
* polymorph energy (0 for the lowest one): 13 meV/atom
* crystal system: tetragonal
* formation energy from the elements: 1085 meV per atom

Unit cell a=8.4034 b=8.4034 c=8.4034 alpha=160.11 beta=160.11 gamma=28.28
With the nearest neighbours (Å) after each atom.
Atoms (fractional coordinates):
K 0.0000 0.0000 0.0000  4 K 2.90
Tl 0.3148 0.3148 0.0000  4 Tl 2.90, 4 Re 3.11
Re 0.6718 0.6718 0.0000  4 Re 2.90, 4 Tl 3.11

Below is a relaxed structure of TbBe4As3O12, with properties calculated at the GGA-PBE level.

* space-group type: No. 155
* ΔE_f (raw): -182.9 kJ/mol of atoms
* crystal system: trigonal

Unit cell a=6.2254 b=6.2254 c=6.2254 alpha=105.20 beta=105.20 gamma=105.20
With the nearest neighbours (Å) after each atom.
Atoms (fractional coordinates):
Tb 0.0000 0.0000 0.0000  6 O 2.37
Be 0.0611 0.5000 0.9389  3 O 1.54-1.57
Be 0.5000 0.5000 0.5000  3 O 1.56
Be 0.5000 0.9389 0.0611  3 O 1.54-1.57
Be 0.9389 0.0611 0.5000  3 O 1.54-1.57
As 0.0000 0.5556 0.4444  6 O 1.92-1.99
As 0.4444 0.0000 0.5556  6 O 1.92-1.99
As 0.5556 0.4444 0.0000  6 O 1.92-1.99
O 0.0276 0.6437 0.7734  1 Be 1.54
O 0.0974 0.9026 0.5000  1 Be 1.57
O 0.2266 0.3563 0.9724  1 Be 1.54
O 0.3421 0.6579 0.5000  1 Be 1.56
O 0.3563 0.9724 0.2266  1 Be 1.54
O 0.5000 0.0974 0.9026  1 Be 1.57
O 0.5000 0.3421 0.6579  1 Be 1.56
O 0.6437 0.7734 0.0276  1 Be 1.54
O 0.6579 0.5000 0.3421  1 Be 1.56
O 0.7734 0.0276 0.6437  1 Be 1.54
O 0.9026 0.5000 0.0974  1 Be 1.57
O 0.9724 0.2266 0.3563  1 Be 1.54

Below is a relaxed structure of LaH3Pt, with properties calculated at the GGA-PBE level.

* space-group type: No. 107
* crystal system: tetragonal
* DFT total energy: -4.665 eV per atom

Unit cell a=5.1028 b=5.1028 c=5.1028 alpha=134.54 beta=134.54 gamma=66.25
With the nearest neighbours (Å) after each atom.
Atoms (fractional coordinates):
La 0.0000 0.0000 0.0000  4 H 2.52
H 0.1831 0.6831 0.5000  2 Pt 1.99
H 0.4406 0.4406 0.0000  1 Pt 1.79
H 0.6831 0.1831 0.5000  2 Pt 1.99
Pt 0.6503 0.6503 0.0000  5 H 1.79-1.99

Below is a relaxed structure of Cs2BaI2Cl2, with properties calculated at the GGA-PBE level.

* space-group type: No. 139
* ΔE_f (raw): -186.0 kJ/mol of atoms
* crystal system: tetragonal

Unit cell a=10.8802 b=10.8802 c=10.8802 alpha=147.96 beta=147.96 gamma=45.94
With the nearest neighbours (Å) after each atom.
Atoms (fractional coordinates):
Cs 0.1366 0.1366 0.0000  1 I 3.84, 4 Cl 4.06
Cs 0.8634 0.8634 0.0000  1 I 3.84, 4 Cl 4.06
Ba 0.5000 0.5000 0.0000  4 Cl 3.00
I 0.3280 0.3280 0.0000  1 Ba 3.45, 1 Cs 3.84
I 0.6720 0.6720 0.0000  1 Ba 3.45, 1 Cs 3.84
Cl 0.0000 0.5000 0.5000  2 Ba 3.00
Cl 0.5000 0.0000 0.5000  2 Ba 3.00

Below is a relaxed structure of BeInCl2, with properties calculated at the GGA-PBE level.

* space-group type: No. 12
* ΔE_f (raw): 3.5 kJ/mol of atoms
* polymorph energy (0 for the lowest one): 783 meV/atom
* crystal system: monoclinic

Unit cell a=4.9723 b=4.9723 c=4.9710 alpha=112.86 beta=112.86 gamma=102.71
With the nearest neighbours (Å) after each atom.
Atoms (fractional coordinates):
Be 0.0000 0.0000 0.0000  4 Cl 2.75
In 0.5000 0.5000 0.0000  4 Cl 2.75
Cl 0.0000 0.5000 0.5000  2 In 2.75, 2 Be 2.75
Cl 0.5000 0.0000 0.5000  2 In 2.75, 2 Be 2.75

Below is a relaxed structure of HfAg, with properties calculated at the GGA-PBE level.

* space-group type: No. 176
* crystal system: hexagonal
* formation energy from the elements: 287 meV per atom

Unit cell a=9.9099 b=9.9099 c=3.0547 alpha=90.00 beta=90.00 gamma=120.00
With the nearest neighbours (Å) after each atom.
Atoms (fractional coordinates):
Hf 0.1339 0.6230 0.2500  4 Ag 2.90-3.17, 6 Hf 2.97-3.12
Hf 0.3770 0.5109 0.2500  4 Ag 2.90-3.17, 6 Hf 2.97-3.12
Hf 0.4891 0.8661 0.2500  4 Ag 2.90-3.17, 6 Hf 2.97-3.12
Hf 0.5109 0.1339 0.7500  4 Ag 2.90-3.17, 6 Hf 2.97-3.12
Hf 0.6230 0.4891 0.7500  4 Ag 2.90-3.17, 6 Hf 2.97-3.12
Hf 0.8661 0.3770 0.7500  4 Ag 2.90-3.17, 6 Hf 2.97-3.12
Ag 0.0516 0.2700 0.2500  6 Ag 2.90-3.05, 4 Hf 2.90-3.17
Ag 0.2184 0.9484 0.2500  6 Ag 2.90-3.05, 4 Hf 2.90-3.17
Ag 0.2700 0.2184 0.7500  6 Ag 2.90-3.05, 4 Hf 2.90-3.17
Ag 0.7300 0.7816 0.2500  6 Ag 2.90-3.05, 4 Hf 2.90-3.17
Ag 0.7816 0.0516 0.7500  6 Ag 2.90-3.05, 4 Hf 2.90-3.17
Ag 0.9484 0.7300 0.7500  6 Ag 2.90-3.05, 4 Hf 2.90-3.17

Below is a relaxed structure of TaTiCdO6, with properties calculated at the GGA-PBE level.

* space-group type: No. 163
* ΔE_f (raw): -216.2 kJ/mol of atoms
* crystal system: trigonal

Unit cell a=5.2732 b=5.2732 c=9.5048 alpha=90.00 beta=90.00 gamma=120.00
With the nearest neighbours (Å) after each atom.
Atoms (fractional coordinates):
Ta 0.3333 0.6667 0.2500  6 O 2.00
Ta 0.6667 0.3333 0.7500  6 O 2.00
Ti 0.3333 0.6667 0.7500  6 O 1.97
Ti 0.6667 0.3333 0.2500  6 O 1.97
Cd 0.0000 0.0000 0.0000  6 O 2.33
Cd 0.0000 0.0000 0.5000  6 O 2.33
O 0.0035 0.3660 0.6390  1 Ti 1.97, 1 Ta 2.00
O 0.0035 0.6375 0.8610  1 Ti 1.97, 1 Ta 2.00
O 0.3625 0.3660 0.8610  1 Ti 1.97, 1 Ta 2.00
O 0.3625 0.9965 0.6390  1 Ti 1.97, 1 Ta 2.00
O 0.3660 0.0035 0.1390  1 Ti 1.97, 1 Ta 2.00
O 0.3660 0.3625 0.3610  1 Ti 1.97, 1 Ta 2.00
O 0.6340 0.6375 0.6390  1 Ti 1.97, 1 Ta 2.00
O 0.6340 0.9965 0.8610  1 Ti 1.97, 1 Ta 2.00
O 0.6375 0.0035 0.3610  1 Ti 1.97, 1 Ta 2.00
O 0.6375 0.6340 0.1390  1 Ti 1.97, 1 Ta 2.00
O 0.9965 0.3625 0.1390  1 Ti 1.97, 1 Ta 2.00
O 0.9965 0.6340 0.3610  1 Ti 1.97, 1 Ta 2.00

Below is a relaxed structure of Ba2Ag3PdPb4, with properties calculated at the GGA-PBE level.

* space-group type: No. 115
* crystal system: tetragonal
* formation energy from the elements: -307 meV per atom

Unit cell a=5.0319 b=5.0319 c=11.4548 alpha=90.00 beta=90.00 gamma=90.00
With the nearest neighbours (Å) after each atom.
Atoms (fractional coordinates):
Ba 0.0000 0.5000 0.2378  2 Pd 3.71, 6 Ag 3.71-3.83, 9 Pb 3.83-4.02
Ba 0.5000 0.0000 0.7622  2 Pd 3.71, 6 Ag 3.71-3.83, 9 Pb 3.83-4.02
Ag 0.0000 0.0000 0.0000  4 Pb 2.83
Ag 0.0000 0.5000 0.6375  5 Pb 2.85-2.97
Ag 0.5000 0.0000 0.3625  5 Pb 2.85-2.97
Pd 0.5000 0.5000 0.0000  4 Pb 2.83
Pb 0.0000 0.0000 0.5000  4 Ag 2.97
Pb 0.0000 0.5000 0.8865  2 Pd 2.83, 3 Ag 2.83-2.85
Pb 0.5000 0.0000 0.1135  2 Pd 2.83, 3 Ag 2.83-2.85
Pb 0.5000 0.5000 0.5000  4 Ag 2.97